[1]
# PaSiTcC

Crystalline PaSiTcC at its relaxed geometry (PBE, Alexandria).

CIF file:
```
data_PaSiTcC
_symmetry_space_group_name_H-M 'P 1'
_symmetry_Int_Tables_number 1
_symmetry_space_group_name_Hall 'P 1'
_cell_length_a 3.813
_cell_length_b 3.813
_cell_length_c 8.668
_cell_angle_alpha 90.00
_cell_angle_beta 90.00
_cell_angle_gamma 90.00
loop_
_atom_site_label
_atom_site_fract_x
_atom_site_fract_y
_atom_site_fract_z
Pa1 0.250 0.250 0.154
Pa2 0.750 0.750 0.846
Si1 0.250 0.250 0.675
Si2 0.750 0.750 0.325
Tc1 0.250 0.750 0.500
Tc2 0.750 0.250 0.500
C1 0.250 0.250 0.889
C2 0.750 0.750 0.111
```

Results
**Uncorrected formation energy**: -398 meV/atom
**M_tot**: 0.00 μB per atom
**Space-group type**: P4/nmm, No. 129

[2]
# PaSiTc2C

Crystalline PaSiTc2C at its relaxed geometry (PBE, Alexandria).

CIF file:
```
data_PaSiTc2C
_symmetry_space_group_name_H-M 'P 1'
_symmetry_Int_Tables_number 1
_symmetry_space_group_name_Hall 'P 1'
_cell_length_a 6.096
_cell_length_b 6.096
_cell_length_c 7.602
_cell_angle_alpha 90.00
_cell_angle_beta 90.00
_cell_angle_gamma 147.06
loop_
_atom_site_label
_atom_site_fract_x
_atom_site_fract_y
_atom_site_fract_z
Pa1 0.041 0.959 0.750
Pa2 0.959 0.041 0.250
Si1 0.243 0.757 0.250
Si2 0.757 0.243 0.750
Tc1 0.337 0.663 0.554
Tc2 0.337 0.663 0.946
Tc3 0.663 0.337 0.054
Tc4 0.663 0.337 0.446
C1 0.500 0.500 0.000
C2 0.500 0.500 0.500
```

Results
**Uncorrected formation energy**: -469 meV/atom
**M_tot**: 0.00 μB per atom
**Space-group type**: Cmcm, No. 63

[3]
# ThPa2SiC4

Crystalline ThPa2SiC4 at its relaxed geometry (PBE, Alexandria).

CIF file:
```
data_ThPa2SiC4
_symmetry_space_group_name_H-M 'P 1'
_symmetry_Int_Tables_number 1
_symmetry_space_group_name_Hall 'P 1'
_cell_length_a 6.109
_cell_length_b 6.109
_cell_length_c 11.839
_cell_angle_alpha 90.00
_cell_angle_beta 90.00
_cell_angle_gamma 145.90
loop_
_atom_site_label
_atom_site_fract_x
_atom_site_fract_y
_atom_site_fract_z
Th1 0.099 0.901 0.750
Th2 0.901 0.099 0.250
Pa1 0.368 0.632 0.550
Pa2 0.368 0.632 0.950
Pa3 0.632 0.368 0.050
Pa4 0.632 0.368 0.450
Si1 0.166 0.834 0.250
Si2 0.834 0.166 0.750
C1 0.000 0.000 0.000
C2 0.000 0.000 0.500
C3 0.269 0.731 0.128
C4 0.269 0.731 0.372
C5 0.422 0.578 0.750
C6 0.578 0.422 0.250
C7 0.731 0.269 0.628
C8 0.731 0.269 0.872
```

Results
**Uncorrected formation energy**: -286 meV/atom
**M_tot**: 0.00 μB per atom
**Space-group type**: Cmcm, No. 63